# 1
Ba3Ac12Ga5: relaxed, GGA-PBE.

a b c (Å): 17.260 17.260 17.260
angles (deg): 109.47 109.47 109.47
Positions (direct):
Ba 0.125 0.250 0.375
Ba 0.125 0.375 0.750
Ba 0.250 0.375 0.125
Ba 0.250 0.875 0.625
Ba 0.375 0.125 0.250
Ba 0.375 0.750 0.125
Ba 0.625 0.250 0.875
Ba 0.625 0.875 0.750
Ba 0.750 0.125 0.375
Ba 0.750 0.625 0.875
Ba 0.875 0.625 0.250
Ba 0.875 0.750 0.625
Ac 0.020 0.198 0.100
Ac 0.020 0.322 0.920
Ac 0.080 0.600 0.401
Ac 0.080 0.980 0.678
Ac 0.099 0.698 0.678
Ac 0.099 0.900 0.420
Ac 0.100 0.020 0.198
Ac 0.100 0.580 0.901
Ac 0.178 0.198 0.599
Ac 0.178 0.480 0.580
Ac 0.198 0.100 0.020
Ac 0.198 0.599 0.178
Ac 0.302 0.322 0.901
Ac 0.302 0.480 0.400
Ac 0.322 0.901 0.302
Ac 0.322 0.920 0.020
Ac 0.400 0.302 0.480
Ac 0.400 0.599 0.920
Ac 0.401 0.080 0.600
Ac 0.401 0.822 0.802
Ac 0.420 0.099 0.900
Ac 0.420 0.822 0.520
Ac 0.480 0.400 0.302
Ac 0.480 0.580 0.178
Ac 0.520 0.420 0.822
Ac 0.520 0.600 0.698
Ac 0.580 0.178 0.480
Ac 0.580 0.901 0.100
Ac 0.599 0.178 0.198
Ac 0.599 0.920 0.400
Ac 0.600 0.401 0.080
Ac 0.600 0.698 0.520
Ac 0.678 0.080 0.980
Ac 0.678 0.099 0.698
Ac 0.698 0.520 0.600
Ac 0.698 0.678 0.099
Ac 0.802 0.401 0.822
Ac 0.802 0.900 0.980
Ac 0.822 0.520 0.420
Ac 0.822 0.802 0.401
Ac 0.900 0.420 0.099
Ac 0.900 0.980 0.802
Ac 0.901 0.100 0.580
Ac 0.901 0.302 0.322
Ac 0.920 0.020 0.322
Ac 0.920 0.400 0.599
Ac 0.980 0.678 0.080
Ac 0.980 0.802 0.900
Ga 0.000 0.000 0.000
Ga 0.000 0.000 0.500
Ga 0.000 0.500 0.000
Ga 0.000 0.500 0.500
Ga 0.125 0.750 0.875
Ga 0.125 0.875 0.250
Ga 0.250 0.125 0.875
Ga 0.250 0.625 0.375
Ga 0.375 0.250 0.625
Ga 0.375 0.625 0.750
Ga 0.500 0.000 0.000
Ga 0.500 0.000 0.500
Ga 0.500 0.500 0.000
Ga 0.500 0.500 0.500
Ga 0.625 0.375 0.250
Ga 0.625 0.750 0.375
Ga 0.750 0.375 0.625
Ga 0.750 0.875 0.125
Ga 0.875 0.125 0.750
Ga 0.875 0.250 0.125

formation energy from the elements	0.294	eV per atom
DOS(E_F)	105.25	states/eV per cell
total moment	0.00	μB per cell
E_tot	-3.216	eV per atom

***

# 2
BaAc3Ga: relaxed, GGA-PBE.

a b c (Å): 6.213 6.213 6.213
angles (deg): 90.00 90.00 90.00
Positions (direct):
Ba 0.000 0.000 0.000
Ac 0.000 0.500 0.500
Ac 0.500 0.000 0.500
Ac 0.500 0.500 0.000
Ga 0.500 0.500 0.500

formation energy from the elements	0.008	eV per atom
DOS(E_F)	6.83	states/eV per cell
total moment	0.00	μB per cell
E_tot	-3.447	eV per atom

***

# 3
Ba2AcGa: relaxed, GGA-PBE.

a b c (Å): 5.263 5.263 5.731
angles (deg): 90.00 90.00 90.00
Positions (direct):
Ba 0.000 0.500 0.000
Ba 0.500 0.000 0.000
Ac 0.000 0.000 0.500
Ga 0.500 0.500 0.500

formation energy from the elements	0.002	eV per atom
DOS(E_F)	3.96	states/eV per cell
total moment	0.00	μB per cell
energy relative to the lowest polymorph listed for this composition	0.37	eV/f.u.
E_tot	-2.744	eV per atom

***

# 4
BaAcGa4: relaxed, GGA-PBE.

a b c (Å): 4.409 7.728 9.752
angles (deg): 90.00 90.00 90.00
Positions (direct):
Ba 0.000 0.000 0.000
Ba 0.500 0.500 0.500
Ac 0.000 0.000 0.500
Ac 0.500 0.500 0.000
Ga 0.000 0.333 0.240
Ga 0.000 0.333 0.760
Ga 0.000 0.667 0.240
Ga 0.000 0.667 0.760
Ga 0.500 0.167 0.260
Ga 0.500 0.167 0.740
Ga 0.500 0.833 0.260
Ga 0.500 0.833 0.740

formation energy from the elements	-0.534	eV per atom
DOS(E_F)	9.75	states/eV per cell
total moment	0.00	μB per cell
energy relative to the lowest polymorph listed for this composition	0.00	eV/f.u.
E_tot	-3.557	eV per atom

***

# 5
BaAc2Ga: relaxed, GGA-PBE.

a b c (Å): 4.736 4.736 28.844
angles (deg): 90.00 90.00 120.00
Positions (direct):
Ba 0.000 0.000 0.000
Ba 0.333 0.667 0.667
Ba 0.667 0.333 0.333
Ac 0.000 0.000 0.224
Ac 0.000 0.000 0.448
Ac 0.333 0.667 0.114
Ac 0.333 0.667 0.891
Ac 0.667 0.333 0.558
Ac 0.667 0.333 0.781
Ga 0.000 0.000 0.837
Ga 0.333 0.667 0.504
Ga 0.667 0.333 0.171

formation energy from the elements	-0.028	eV per atom
DOS(E_F)	17.62	states/eV per cell
total moment	1.02	μB per cell
energy relative to the lowest polymorph listed for this composition	0.58	eV/f.u.
E_tot	-3.319	eV per atom

***

# 6
BaAcGa2: relaxed, GGA-PBE.

a b c (Å): 4.431 6.491 9.162
angles (deg): 90.00 90.00 90.00
Positions (direct):
Ba 0.000 0.128 0.000
Ba 0.000 0.872 0.500
Ac 0.500 0.364 0.640
Ac 0.500 0.636 0.140
Ga 0.000 0.378 0.350
Ga 0.000 0.622 0.850
Ga 0.500 0.159 0.292
Ga 0.500 0.841 0.792

formation energy from the elements	-0.386	eV per atom
DOS(E_F)	9.43	states/eV per cell
total moment	0.00	μB per cell
E_tot	-3.407	eV per atom

***

# 7
Ba2AcGa: relaxed, GGA-PBE.

a b c (Å): 4.098 4.098 38.490
angles (deg): 90.00 90.00 120.00
Positions (direct):
Ba 0.000 0.000 0.104
Ba 0.000 0.000 0.896
Ba 0.333 0.667 0.562
Ba 0.333 0.667 0.771
Ba 0.667 0.333 0.229
Ba 0.667 0.333 0.438
Ac 0.000 0.000 0.000
Ac 0.333 0.667 0.667
Ac 0.667 0.333 0.333
Ga 0.000 0.000 0.500
Ga 0.333 0.667 0.167
Ga 0.667 0.333 0.833

formation energy from the elements	0.099	eV per atom
DOS(E_F)	16.13	states/eV per cell
total moment	0.00	μB per cell
energy relative to the lowest polymorph listed for this composition	0.76	eV/f.u.
E_tot	-2.646	eV per atom

***

# 8
BaAcGa3: relaxed, GGA-PBE.

a b c (Å): 13.830 13.830 4.430
angles (deg): 90.00 90.00 159.33
Positions (direct):
Ba 0.071 0.929 0.750
Ba 0.929 0.071 0.250
Ac 0.203 0.797 0.250
Ac 0.797 0.203 0.750
Ga 0.328 0.672 0.250
Ga 0.381 0.619 0.750
Ga 0.476 0.524 0.750
Ga 0.524 0.476 0.250
Ga 0.619 0.381 0.250
Ga 0.672 0.328 0.750

formation energy from the elements	-0.472	eV per atom
DOS(E_F)	9.15	states/eV per cell
total moment	0.00	μB per cell
energy relative to the lowest polymorph listed for this composition	0.29	eV/f.u.
E_tot	-3.494	eV per atom

***

# 9
BaAc2Ga: relaxed, GGA-PBE.

a b c (Å): 4.001 4.001 10.354
angles (deg): 90.00 90.00 90.00
Positions (direct):
Ba 0.000 0.000 0.000
Ac 0.500 0.500 0.323
Ac 0.500 0.500 0.677
Ga 0.000 0.000 0.500

formation energy from the elements	-0.173	eV per atom
DOS(E_F)	4.98	states/eV per cell
total moment	0.00	μB per cell
energy relative to the lowest polymorph listed for this composition	0.00	eV/f.u.
E_tot	-3.464	eV per atom

***

# 10
BaAc2Ga: relaxed, GGA-PBE.

a b c (Å): 5.038 5.038 24.919
angles (deg): 90.00 90.00 120.00
Positions (direct):
Ba 0.000 0.000 0.000
Ba 0.333 0.667 0.667
Ba 0.667 0.333 0.333
Ac 0.000 0.000 0.219
Ac 0.000 0.000 0.781
Ac 0.333 0.667 0.447
Ac 0.333 0.667 0.886
Ac 0.667 0.333 0.114
Ac 0.667 0.333 0.553
Ga 0.000 0.000 0.500
Ga 0.333 0.667 0.167
Ga 0.667 0.333 0.833

formation energy from the elements	-0.008	eV per atom
DOS(E_F)	14.83	states/eV per cell
total moment	0.00	μB per cell
energy relative to the lowest polymorph listed for this composition	0.66	eV/f.u.
E_tot	-3.300	eV per atom

***

# 11
Ba2AcGa: relaxed, GGA-PBE.

a b c (Å): 4.055 4.055 10.509
angles (deg): 90.00 90.00 90.00
Positions (direct):
Ba 0.000 0.000 0.190
Ba 0.000 0.000 0.810
Ac 0.500 0.500 0.500
Ga 0.500 0.500 0.000

formation energy from the elements	-0.090	eV per atom
DOS(E_F)	3.86	states/eV per cell
total moment	0.00	μB per cell
energy relative to the lowest polymorph listed for this composition	0.00	eV/f.u.
E_tot	-2.836	eV per atom

***

# 12
Ba4AcGa4: relaxed, GGA-PBE.

a b c (Å): 9.635 9.635 7.803
angles (deg): 90.00 90.00 90.00
Positions (direct):
Ba 0.043 0.663 0.137
Ba 0.163 0.957 0.637
Ba 0.337 0.543 0.637
Ba 0.457 0.837 0.137
Ba 0.543 0.163 0.863
Ba 0.663 0.457 0.363
Ba 0.837 0.043 0.363
Ba 0.957 0.337 0.863
Ac 0.250 0.250 0.250
Ac 0.750 0.750 0.750
Ga 0.003 0.621 0.564
Ga 0.121 0.997 0.064
Ga 0.379 0.503 0.064
Ga 0.497 0.879 0.564
Ga 0.503 0.121 0.436
Ga 0.621 0.497 0.936
Ga 0.879 0.003 0.936
Ga 0.997 0.379 0.436

formation energy from the elements	-0.244	eV per atom
DOS(E_F)	14.84	states/eV per cell
total moment	0.00	μB per cell
E_tot	-2.900	eV per atom